! NbBiSe4, relaxed, DFT PBE; values from VASP
&SYSTEM
  ibrav = 0, nat = 12, ntyp = 3
/
ATOMIC_SPECIES
Nb 92.91 Nb.upf
Bi 208.98 Bi.upf
Se 78.96 Se.upf
CELL_PARAMETERS angstrom
-0.321 2.737 6.151
5.436 -3.523 1.851
3.971 4.939 -2.261
ATOMIC_POSITIONS angstrom
Nb 1.825 3.838 1.945
Nb 4.703 0.708 -0.205
Bi 0.000 0.000 0.000
Bi 2.558 -0.393 4.001
Se 3.632 1.052 6.312
Se 3.780 5.451 1.990
Se 3.367 1.675 1.842
Se 6.949 0.416 1.189
Se 5.454 3.101 -0.570
Se 5.306 -1.297 3.752
Se 5.719 2.478 3.900
Se 2.137 3.737 4.553
! Formation energy without anion corrections, meV per atom: -369.5
! DFT total energy, eV/cell: -60.21
! Magnetic moment, μB/cell: 0.00

=====

! SmScOs, relaxed, DFT PBE; values from VASP
&SYSTEM
  ibrav = 0, nat = 12, ntyp = 3
/
ATOMIC_SPECIES
Os 190.23 Os.upf
Sc 44.96 Sc.upf
Sm 150.36 Sm.upf
CELL_PARAMETERS angstrom
6.658 0.000 0.127
0.000 6.701 0.000
-1.849 0.000 6.470
ATOMIC_POSITIONS angstrom
Os 2.988 3.199 1.555
Os 1.821 3.501 5.041
Os -1.266 0.151 4.726
Os 6.075 6.550 1.870
Sc -0.343 2.276 5.972
Sc 5.152 4.425 0.624
Sc 0.898 5.626 3.795
Sc 3.910 1.075 2.801
Sm 1.869 5.578 0.540
Sm 4.273 4.473 3.838
Sm 2.940 1.122 6.057
Sm 0.535 2.228 2.759
! DFT formation energy, eV/atom: -0.0934
! DFT total energy, eV/cell: -90.24
! Magnetic moment, μB/cell: 0.00

=====

! AcThUN3, relaxed, DFT PBE; values from VASP
&SYSTEM
  ibrav = 0, nat = 12, ntyp = 4
/
ATOMIC_SPECIES
Ac 227.00 Ac.upf
Th 232.04 Th.upf
U 238.03 U.upf
N 14.01 N.upf
CELL_PARAMETERS angstrom
3.753 0.000 0.000
0.000 7.571 0.762
0.000 -2.218 8.909
ATOMIC_POSITIONS angstrom
Ac 2.815 4.476 8.307
Ac 0.938 0.876 1.365
Th 0.938 4.484 1.826
Th 2.815 0.868 7.846
U 0.938 -0.879 5.326
U 2.815 6.231 4.346
N 0.938 5.090 4.219
N 2.815 6.300 2.136
N 2.815 2.935 1.340
N 2.815 0.262 5.453
N 0.938 2.417 8.332
N 0.938 -0.948 7.536
! Formation energy without anion corrections, meV per atom: -1036.2
! DFT total energy, eV/cell: -108.02
! Magnetic moment, μB/cell: 0.00

=====

! Li5Cu3O6, relaxed, DFT PBE; values from VASP
&SYSTEM
  ibrav = 0, nat = 14, ntyp = 3
/
ATOMIC_SPECIES
Li 6.94 Li.upf
Cu 63.55 Cu.upf
O 16.00 O.upf
CELL_PARAMETERS angstrom
4.775 0.008 -0.002
0.636 5.235 0.004
1.143 2.377 6.040
ATOMIC_POSITIONS angstrom
Li 5.655 6.236 4.165
Li 4.965 4.665 5.906
Li 2.660 5.386 6.020
Li 3.273 1.920 2.332
Li 0.965 1.336 1.833
Cu 3.957 4.801 0.994
Cu 5.656 3.826 3.022
Cu 2.608 2.835 5.059
O 4.210 6.465 5.517
O 4.957 5.497 2.468
O 1.599 4.442 4.661
O 4.813 3.103 1.451
O 1.689 2.177 3.479
O 2.400 1.234 0.579
! Formation energy without anion corrections, meV per atom: -1297.5
! DFT total energy, eV/cell: -69.77
! Magnetic moment, μB/cell: 1.98

=====

! Li2CdReHg, relaxed, DFT PBE; values from VASP
&SYSTEM
  ibrav = 0, nat = 5, ntyp = 4
/
ATOMIC_SPECIES
Re 186.21 Re.upf
Li 6.94 Li.upf
Hg 200.59 Hg.upf
Cd 112.41 Cd.upf
CELL_PARAMETERS angstrom
-0.887 0.495 4.561
-2.449 -4.576 0.021
4.024 -2.149 1.016
ATOMIC_POSITIONS angstrom
Re 0.343 -3.115 2.799
Li 2.012 -1.074 0.508
Li -0.444 0.248 2.281
Hg -1.225 -2.288 0.010
Cd 0.000 0.000 0.000
! DFT formation energy, eV/atom: 1.2905
! DFT total energy, eV/cell: -11.04
! Magnetic moment, μB/cell: 3.26

=====

! PrAl3Zn, relaxed, DFT PBE; values from VASP
&SYSTEM
  ibrav = 0, nat = 5, ntyp = 3
/
ATOMIC_SPECIES
Pr 140.91 Pr.upf
Al 26.98 Al.upf
Zn 65.41 Zn.upf
CELL_PARAMETERS angstrom
-0.568 1.798 3.823
-3.575 -2.259 0.534
0.863 -4.297 4.512
ATOMIC_POSITIONS angstrom
Pr -0.184 -3.617 5.714
Al -3.422 -2.744 4.826
Al -1.344 -2.504 2.654
Al -2.482 -0.434 3.889
Zn -2.355 -4.716 3.535
! DFT formation energy, eV/atom: -0.3965
! DFT total energy, eV/cell: -19.26
! Magnetic moment, μB/cell: 0.00

=====

! Sc2InPb, relaxed, DFT PBE; values from VASP
&SYSTEM
  ibrav = 0, nat = 4, ntyp = 3
/
ATOMIC_SPECIES
In 114.82 In.upf
Pb 207.20 Pb.upf
Sc 44.96 Sc.upf
CELL_PARAMETERS angstrom
5.335 0.000 0.000
0.000 3.345 -0.008
0.000 0.013 5.336
ATOMIC_POSITIONS angstrom
In 0.000 2.095 1.999
Pb 2.668 2.102 4.661
Sc 0.000 0.430 4.671
Sc 2.668 0.422 1.998
! DFT formation energy, eV/atom: -0.3092
! DFT total energy, eV/cell: -20.35
! Magnetic moment, μB/cell: 0.00

=====

! Pu4Te5H2, relaxed, DFT PBE; values from VASP
&SYSTEM
  ibrav = 0, nat = 11, ntyp = 3
/
ATOMIC_SPECIES
Pu 244.00 Pu.upf
Te 127.60 Te.upf
H 1.01 H.upf
CELL_PARAMETERS angstrom
-0.685 1.207 -3.786
-5.939 -4.956 -0.506
-2.510 8.545 5.326
ATOMIC_POSITIONS angstrom
Pu -5.679 0.838 -0.853
Pu -7.303 6.320 1.189
Pu -3.455 3.958 1.887
Pu -1.831 -1.524 -0.155
Te -6.454 -1.714 0.621
Te -2.680 6.510 0.413
Te -3.192 1.011 0.900
Te -0.342 0.604 -1.893
Te -5.942 3.785 0.134
H -3.988 -1.090 -1.774
H -5.146 5.886 2.807
! DFT total energy, eV/cell: -86.38
! Magnetic moment, μB/cell: 0.86

=====

! Hg2RhW, relaxed, DFT PBE; values from VASP
&SYSTEM
  ibrav = 0, nat = 4, ntyp = 3
/
ATOMIC_SPECIES
Hg 200.59 Hg.upf
Rh 102.91 Rh.upf
W 183.84 W.upf
CELL_PARAMETERS angstrom
0.503 4.776 3.708
-4.666 3.515 1.637
2.960 -5.292 -0.210
ATOMIC_POSITIONS angstrom
Hg -4.074 8.114 5.231
Hg -1.981 1.359 2.162
Rh -2.193 4.368 2.816
W 0.801 1.595 2.944
! DFT formation energy, eV/atom: 0.5128
! DFT total energy, eV/cell: -18.86
! Magnetic moment, μB/cell: 0.00

=====

! La3Ru, relaxed, DFT PBE; values from VASP
&SYSTEM
  ibrav = 0, nat = 8, ntyp = 2
/
ATOMIC_SPECIES
La 138.91 La.upf
Ru 101.07 Ru.upf
CELL_PARAMETERS angstrom
-3.754 -4.595 -0.662
1.578 -2.063 5.375
-4.366 3.205 2.512
ATOMIC_POSITIONS angstrom
La -1.788 1.087 2.600
La -0.999 0.055 5.287
La -0.150 -2.180 2.522
La -2.968 -1.496 0.297
La -5.151 0.107 1.553
La -2.027 -4.477 2.192
Ru 0.000 0.000 0.000
Ru -3.271 -1.726 3.613
! DFT formation energy, eV/atom: 0.1327
! DFT total energy, eV/cell: -47.05
! Magnetic moment, μB/cell: 0.00

=====

! BaSn2TeRh, relaxed, DFT PBE; values from VASP
&SYSTEM
  ibrav = 0, nat = 5, ntyp = 4
/
ATOMIC_SPECIES
Te 127.60 Te.upf
Rh 102.91 Rh.upf
Ba 137.33 Ba.upf
Sn 118.71 Sn.upf
CELL_PARAMETERS angstrom
5.099 0.000 0.000
0.000 5.099 0.000
0.000 0.000 6.194
ATOMIC_POSITIONS angstrom
Te 2.550 2.550 3.097
Rh 0.000 0.000 0.000
Ba 0.000 0.000 3.097
Sn 0.000 2.550 0.000
Sn 2.550 0.000 0.000
! Formation energy without anion corrections, meV per atom: -570.6
! DFT total energy, eV/cell: -23.27
! Magnetic moment, μB/cell: 0.00

=====

! TlSbAu2, relaxed, DFT PBE; values from VASP
&SYSTEM
  ibrav = 0, nat = 4, ntyp = 3
/
ATOMIC_SPECIES
Sb 121.76 Sb.upf
Tl 204.38 Tl.upf
Au 196.97 Au.upf
CELL_PARAMETERS angstrom
-0.477 -4.078 -0.108
1.241 -0.249 3.924
-5.552 0.601 1.794
ATOMIC_POSITIONS angstrom
Sb -2.082 0.226 0.673
Tl -4.474 -1.637 3.478
Au -4.860 0.527 1.571
Au -1.699 -1.938 2.581
! Formation energy without anion corrections, meV per atom: -15.4
! DFT total energy, eV/cell: -13.11
! Magnetic moment, μB/cell: 0.00

=====

! La8Sm2Y3, relaxed, DFT PBE; values from VASP
&SYSTEM
  ibrav = 0, nat = 13, ntyp = 3
/
ATOMIC_SPECIES
La 138.91 La.upf
Sm 150.36 Sm.upf
Y 88.91 Y.upf
CELL_PARAMETERS angstrom
6.036 0.247 1.255
1.849 8.691 1.530
0.688 -0.701 8.962
ATOMIC_POSITIONS angstrom
La 2.773 4.525 6.150
La 5.801 3.712 5.597
La 5.893 1.382 2.666
La 2.681 6.855 9.081
La 5.100 5.236 2.429
La 4.506 0.431 6.232
La 4.067 7.806 5.515
La 3.473 3.001 9.318
Sm 2.850 2.483 3.583
Sm 5.724 5.754 8.164
Y 3.018 0.124 0.628
Y 0.984 1.691 7.069
Y 1.554 6.298 3.423
! DFT formation energy, eV/atom: 0.1472
! DFT total energy, eV/cell: -66.34
! Magnetic moment, μB/cell: 0.00

=====

! BaPbIN2, relaxed, DFT PBE; values from VASP
&SYSTEM
  ibrav = 0, nat = 5, ntyp = 4
/
ATOMIC_SPECIES
Pb 207.20 Pb.upf
I 126.90 I.upf
Ba 137.33 Ba.upf
N 14.01 N.upf
CELL_PARAMETERS angstrom
-4.643 -1.268 -0.940
-0.507 -1.567 4.619
-1.991 5.954 1.801
ATOMIC_POSITIONS angstrom
Pb 0.000 0.000 0.000
I -0.995 2.977 0.900
Ba -3.571 1.560 2.740
N -0.254 -0.783 2.310
N -2.322 -0.634 -0.470
! Formation energy without anion corrections, meV per atom: 730.5
! DFT total energy, eV/cell: -20.18
! Magnetic moment, μB/cell: 1.49

=====

! KMnTlBr6, relaxed, DFT PBE; values from VASP
&SYSTEM
  ibrav = 0, nat = 18, ntyp = 4
/
ATOMIC_SPECIES
K 39.10 K.upf
Mn 54.94 Mn.upf
Tl 204.38 Tl.upf
Br 79.90 Br.upf
CELL_PARAMETERS angstrom
-2.060 -7.530 -0.762
4.867 2.172 5.756
-9.637 1.884 7.438
ATOMIC_POSITIONS angstrom
K 0.000 0.000 0.000
K -4.819 0.942 3.719
Mn 0.148 -0.591 5.443
Mn -6.979 -2.883 6.989
Tl -2.160 -3.825 3.270
Tl -4.670 0.351 9.162
Br 0.744 -2.734 4.377
Br 0.558 0.562 3.300
Br -6.574 -1.737 4.843
Br -7.389 -4.036 9.132
Br -2.220 -0.930 4.841
Br -0.452 1.554 6.502
Br -9.348 -3.214 6.385
Br -0.257 -1.737 7.589
Br -6.378 -5.029 5.930
Br 2.517 -0.260 6.047
Br -4.611 -2.544 7.591
Br -7.575 -0.740 8.055
! Formation energy without anion corrections, meV per atom: -858.2
! DFT total energy, eV/cell: -60.79
! Magnetic moment, μB/cell: 5.80

=====

! HfZrSbTe, relaxed, DFT PBE; values from VASP
&SYSTEM
  ibrav = 0, nat = 4, ntyp = 4
/
ATOMIC_SPECIES
Sb 121.76 Sb.upf
Te 127.60 Te.upf
Hf 178.49 Hf.upf
Zr 91.22 Zr.upf
CELL_PARAMETERS angstrom
-3.460 3.576 -0.722
-3.968 -0.901 -2.954
-4.579 -0.488 2.020
ATOMIC_POSITIONS angstrom
Sb -9.006 1.641 -1.242
Te -3.002 0.547 -0.414
Hf -6.004 1.094 -0.828
Zr 0.000 0.000 0.000
! Formation energy without anion corrections, meV per atom: -535.6
! DFT total energy, eV/cell: -27.91
! Magnetic moment, μB/cell: 0.00

=====

! Nd8Er4Sc, relaxed, DFT PBE; values from VASP
&SYSTEM
  ibrav = 0, nat = 13, ntyp = 3
/
ATOMIC_SPECIES
Nd 144.24 Nd.upf
Er 167.26 Er.upf
Sc 44.96 Sc.upf
CELL_PARAMETERS angstrom
-2.326 -2.470 -6.397
7.102 0.532 1.310
-0.782 -7.449 7.260
ATOMIC_POSITIONS angstrom
Nd 3.972 -3.670 -0.027
Nd 0.022 -5.717 2.200
Nd 0.387 -3.308 -0.756
Nd -1.290 -7.507 -0.731
Nd 3.607 -6.080 2.929
Nd 2.532 -7.221 -0.025
Nd 1.462 -2.167 2.198
Nd 5.284 -1.881 2.903
Er 0.000 0.000 0.000
Er 3.551 0.266 0.655
Er 2.388 -0.969 -2.543
Er -1.163 -1.235 -3.199
Sc 3.160 -3.459 4.285
! DFT formation energy, eV/atom: 0.1766
! DFT total energy, eV/cell: -60.43
! Magnetic moment, μB/cell: 0.00

=====

! Nd8Pt3Se4S, relaxed, DFT PBE; values from VASP
&SYSTEM
  ibrav = 0, nat = 16, ntyp = 4
/
ATOMIC_SPECIES
Nd 144.24 Nd.upf
Pt 195.08 Pt.upf
Se 78.96 Se.upf
S 32.06 S.upf
CELL_PARAMETERS angstrom
8.325 0.000 0.000
0.000 8.617 0.197
-4.163 -4.157 5.890
ATOMIC_POSITIONS angstrom
Nd -2.072 2.240 5.986
Nd 0.000 4.310 3.055
Nd 0.000 0.189 3.074
Nd 2.072 2.240 5.986
Nd 2.090 2.220 0.101
Nd 4.163 4.271 3.014
Nd 4.163 0.151 3.033
Nd 6.235 2.220 0.101
Pt 4.163 4.309 0.099
Pt 2.081 2.230 3.044
Pt -2.081 2.230 3.044
Se 4.163 0.000 0.000
Se 2.081 -2.078 2.945
Se 0.000 0.000 0.000
Se -2.081 -2.078 2.945
S 0.000 4.309 0.099
! Formation energy without anion corrections, meV per atom: -1553.0
! DFT total energy, eV/cell: -99.18
! Magnetic moment, μB/cell: 0.00

=====

! NbVMo4, relaxed, DFT PBE; values from VASP
&SYSTEM
  ibrav = 0, nat = 6, ntyp = 3
/
ATOMIC_SPECIES
Nb 92.91 Nb.upf
V 50.94 V.upf
Mo 95.94 Mo.upf
CELL_PARAMETERS angstrom
-1.265 2.154 -4.101
0.095 -4.386 -2.333
-4.781 -0.917 0.993
ATOMIC_POSITIONS angstrom
Nb -2.343 -2.651 -0.670
V -0.633 1.077 -2.051
Mo -3.817 -0.976 -2.146
Mo -3.954 -4.474 -1.130
Mo -1.998 1.325 -4.310
Mo -2.134 -2.173 -3.294
! DFT formation energy, eV/atom: 1.4207
! DFT total energy, eV/cell: -53.99
! Magnetic moment, μB/cell: 0.00

=====

! Ce2Cu2Ni15, relaxed, DFT PBE; values from VASP
&SYSTEM
  ibrav = 0, nat = 19, ntyp = 3
/
ATOMIC_SPECIES
Ce 140.12 Ce.upf
Cu 63.55 Cu.upf
Ni 58.69 Ni.upf
CELL_PARAMETERS angstrom
-3.918 1.200 -4.765
-1.846 -5.922 -1.013
-5.296 0.237 3.375
ATOMIC_POSITIONS angstrom
Ce -3.780 -1.533 -0.821
Ce -7.280 -2.952 -1.582
Cu -1.077 -0.437 -0.234
Cu -9.983 -4.048 -2.169
Ni -1.959 0.600 -2.383
Ni -2.648 0.119 1.688
Ni -0.923 -2.961 -0.507
Ni -2.878 -4.080 0.300
Ni -3.298 -0.930 -3.643
Ni -4.884 0.525 0.940
Ni -2.466 -3.791 -2.136
Ni -4.330 0.912 -2.330
Ni -4.264 -1.605 2.063
Ni -5.281 -3.535 0.808
Ni -4.592 -3.053 -3.259
Ni -6.316 0.024 -1.067
Ni -5.779 -0.950 -3.211
Ni -6.468 -1.431 0.856
Ni -4.744 -4.508 -1.337
! DFT formation energy, eV/atom: -0.1966
! DFT total energy, eV/cell: -110.51
! Magnetic moment, μB/cell: 3.61